Material: TlIn3Pt
Method: DFT, PBE-GGA
State: optimized geometry

a b c (Å): 5.237 5.237 5.237
angles (deg): 90.00 90.00 90.00
Sites, in units of the cell vectors:
Tl (0.000, 0.000, 0.000)
In (0.000, 0.500, 0.500)
In (0.500, 0.000, 0.500)
In (0.500, 0.500, 0.000)
Pt (0.500, 0.500, 0.500)

Values from the calculation:
Formation energy (eV/atom): -0.14
Energy (eV for the cell shown): -17.3
Space group: No. 221
Magnetic moment (μB per atom): 0.0000

Material: TiRe3F
Method: DFT, PBE-GGA
State: optimized geometry

a b c (Å): 4.578 4.578 4.578
angles (deg): 90.00 90.00 90.00
Sites, in units of the cell vectors:
Ti (0.000, 0.000, 0.000)
Re (0.000, 0.000, 0.500)
Re (0.000, 0.500, 0.000)
Re (0.500, 0.000, 0.000)
F (0.500, 0.500, 0.500)

Values from the calculation:
Energy (eV for the cell shown): -35.9
Space group: No. 221
ΔE_f (raw) (eV per atom): 2.252
Magnetic moment (μB per atom): 0.0001